No. 1
First-principles (GGA-PBEsol) data for a relaxed structure of CrAgNF2, as listed in Alexandria.

a b c (Å): 3.976 3.976 3.651
angles (deg): 90.00 90.00 90.00
Element x y z (fractional)
Cr (0.000, 0.000, 0.000)
Ag (0.500, 0.500, 0.500)
N (0.000, 0.000, 0.500)
F (0.000, 0.500, 0.000)
F (0.500, 0.000, 0.000)

Summary:
Uncorrected formation energy: -0.911 eV per atom
Calculated volume: 11.55 Å³ per atom

No. 2
First-principles (GGA-PBEsol) data for a relaxed structure of MnGe3Sb, as listed in Alexandria.

a b c (Å): 5.169 5.169 5.169
angles (deg): 90.00 90.00 90.00
Element x y z (fractional)
Mn (0.000, 0.000, 0.000)
Ge (0.000, 0.500, 0.500)
Ge (0.500, 0.000, 0.500)
Ge (0.500, 0.500, 0.000)
Sb (0.500, 0.500, 0.500)

Summary:
Uncorrected formation energy: 1.351 eV per atom
Calculated volume: 27.62 Å³ per atom

No. 3
First-principles (GGA-PBEsol) data for a relaxed structure of RePt3, as listed in Alexandria.

a b c (Å): 4.756 4.756 4.791
angles (deg): 99.21 99.21 33.49
Element x y z (fractional)
Re (0.000, 0.000, 0.000)
Pt (0.254, 0.254, 0.759)
Pt (0.500, 0.500, 0.500)
Pt (0.746, 0.746, 0.241)

Summary:
Formation enthalpy at 0 K: -0.0964 eV/atom
Calculated volume: 14.74 Å³ per atom

No. 4
First-principles (GGA-PBEsol) data for a relaxed structure of LiReAs2, as listed in Alexandria.

a b c (Å): 3.245 3.245 5.946
angles (deg): 90.00 90.00 90.00
Element x y z (fractional)
Li (0.000, 0.000, 0.000)
Re (0.500, 0.500, 0.256)
As (0.000, 0.000, 0.441)
As (0.500, 0.500, 0.843)

Summary:
Formation enthalpy at 0 K: 0.1103 eV/atom
Energy above the most stable polymorph in this dataset: 327 meV per atom
Calculated volume: 15.65 Å³ per atom

No. 5
First-principles (GGA-PBEsol) data for a relaxed structure of Mn6Ni16P7, as listed in Alexandria.

a b c (Å): 7.657 7.657 7.657
angles (deg): 60.00 60.00 60.00
Element x y z (fractional)
Mn (0.192, 0.192, 0.808)
Mn (0.192, 0.808, 0.192)
Mn (0.192, 0.808, 0.808)
Mn (0.808, 0.192, 0.192)
Mn (0.808, 0.192, 0.808)
Mn (0.808, 0.808, 0.192)
Ni (0.150, 0.617, 0.617)
Ni (0.164, 0.164, 0.164)
Ni (0.164, 0.164, 0.507)
Ni (0.164, 0.507, 0.164)
Ni (0.383, 0.383, 0.383)
Ni (0.383, 0.383, 0.850)
Ni (0.383, 0.850, 0.383)
Ni (0.493, 0.836, 0.836)
Ni (0.507, 0.164, 0.164)
Ni (0.617, 0.150, 0.617)
Ni (0.617, 0.617, 0.150)
Ni (0.617, 0.617, 0.617)
Ni (0.836, 0.493, 0.836)
Ni (0.836, 0.836, 0.493)
Ni (0.836, 0.836, 0.836)
Ni (0.850, 0.383, 0.383)
P (0.000, 0.000, 0.500)
P (0.000, 0.500, 0.000)
P (0.000, 0.500, 0.500)
P (0.500, 0.000, 0.000)
P (0.500, 0.000, 0.500)
P (0.500, 0.500, 0.000)
P (0.500, 0.500, 0.500)

Summary:
Formation enthalpy at 0 K: -0.4496 eV/atom
Calculated volume: 10.95 Å³ per atom

No. 6
First-principles (GGA-PBEsol) data for a relaxed structure of LaPAu2, as listed in Alexandria.

a b c (Å): 5.447 5.447 5.447
angles (deg): 48.59 48.59 48.59
Element x y z (fractional)
La (0.000, 0.000, 0.000)
P (0.211, 0.211, 0.211)
Au (0.528, 0.528, 0.528)
Au (0.770, 0.770, 0.770)

Summary:
Formation enthalpy at 0 K: -0.6984 eV/atom
Calculated volume: 20.85 Å³ per atom

calculated volume of number 5 (Mn6Ni16P7)?
10.95 Å³ per atom